Entry 1:
{
  "formula": "SrErCuTe3",
  "functional": "GGA-PBE",
  "state": "optimized geometry",
  "lattice_angstrom": [[-3.373, -2.584, -0.856], [0.261, -3.164, 8.517], [-5.984, 7.641, 0.513]],
  "species": ["Te", "Te", "Te", "Te", "Te", "Te", "Cu", "Cu", "Er", "Er", "Sr", "Sr"],
  "frac_coords": [[0.750, 0.437, 0.166], [0.250, 0.772, 0.482], [0.250, 0.099, 0.863], [0.250, 0.563, 0.834], [0.750, 0.228, 0.518], [0.750, 0.901, 0.137], [0.250, 0.074, 0.578], [0.750, 0.926, 0.422], [0.750, 0.326, 0.837], [0.250, 0.674, 0.163], [0.750, 0.813, 0.752], [0.250, 0.187, 0.248]],
  "e_form_raw_ev_per_atom": -1.19,
  "mass_density_g_cm3": 6.27,
  "spacegroup": "P2_1/m, No. 11"
}



Entry 2:
{
  "formula": "ZrScCo2",
  "functional": "GGA-PBE",
  "state": "optimized geometry",
  "lattice_angstrom": [[7.736, 0.128, 0.077], [7.022, 3.248, 0.077], [7.022, 1.607, 2.824]],
  "species": ["Co", "Co", "Zr", "Sc"],
  "frac_coords": [[0.001, 0.001, 0.001], [0.499, 0.499, 0.499], [0.750, 0.750, 0.750], [0.250, 0.250, 0.250]],
  "mass_density_g_cm3": 6.33,
  "spacegroup": "R-3m, No. 166"
}



Entry 3:
{
  "formula": "LaErIr",
  "functional": "GGA-PBE",
  "state": "optimized geometry",
  "lattice_angstrom": [[4.903, 0.000, 0.000], [2.452, 4.246, 0.000], [2.452, 1.415, 4.003]],
  "species": ["La", "Ir", "Er"],
  "frac_coords": [[0.000, 0.000, 0.000], [0.250, 0.250, 0.250], [0.500, 0.500, 0.500]],
  "mass_density_g_cm3": 9.93,
  "spacegroup": "F-43m, No. 216",
  "de_polymorph_ev_per_fu": 0.10
}



Entry 4:
{
  "formula": "BaCa2Al6",
  "functional": "GGA-PBE",
  "state": "optimized geometry",
  "lattice_angstrom": [[-1.904, 2.505, -1.791], [4.910, -2.234, -8.345], [-6.071, -4.672, 3.595]],
  "species": ["Al", "Al", "Al", "Al", "Al", "Al", "Ca", "Ca", "Ba"],
  "frac_coords": [[0.325, 0.600, 0.650], [0.500, 0.648, 0.000], [0.500, 0.352, 0.000], [0.675, 0.950, 0.350], [0.675, 0.400, 0.350], [0.325, 0.050, 0.650], [0.166, 0.664, 0.329], [0.834, 0.336, 0.671], [0.000, 0.000, 0.000]],
  "mass_density_g_cm3": 2.65,
  "spacegroup": "Immm, No. 71"
}



Entry 5:
{
  "formula": "GeSb2PtRh",
  "functional": "GGA-PBE",
  "state": "optimized geometry",
  "lattice_angstrom": [[5.107, 0.000, 0.000], [0.000, 4.595, 0.000], [0.000, 0.000, 5.107]],
  "species": ["Sb", "Sb", "Pt", "Rh", "Ge"],
  "frac_coords": [[0.500, 0.000, 0.000], [0.000, 0.000, 0.500], [0.500, 0.500, 0.500], [0.000, 0.000, 0.000], [0.000, 0.500, 0.000]],
  "e_form_raw_ev_per_atom": 0.39,
  "mass_density_g_cm3": 8.51,
  "spacegroup": "P4/mmm, No. 123"
}



Entry 6:
{
  "formula": "Pr4AgO7",
  "functional": "GGA-PBE",
  "state": "optimized geometry",
  "lattice_angstrom": [[4.170, 0.000, 0.000], [2.085, 6.632, -0.121], [2.085, 0.238, 6.822]],
  "species": ["O", "O", "O", "O", "O", "O", "O", "Ag", "Pr", "Pr", "Pr", "Pr"],
  "frac_coords": [[0.364, 0.579, 0.693], [0.202, 0.147, 0.449], [0.636, 0.421, 0.307], [0.906, 0.301, 0.886], [0.798, 0.853, 0.551], [0.500, 0.000, 0.000], [0.094, 0.699, 0.114], [0.000, 0.000, 0.000], [0.414, 0.777, 0.396], [0.749, 0.661, 0.840], [0.251, 0.339, 0.160], [0.586, 0.223, 0.604]],
  "e_form_raw_ev_per_atom": -2.75,
  "mass_density_g_cm3": 6.89,
  "spacegroup": "C2/m, No. 12"
}



Entry 7:
{
  "formula": "Ac2CdAgHg6",
  "functional": "GGA-PBE",
  "state": "optimized geometry",
  "lattice_angstrom": [[-6.592, -1.573, -2.605], [-4.384, -4.472, 3.674], [-8.407, 7.694, 6.508]],
  "species": ["Hg", "Hg", "Hg", "Hg", "Hg", "Hg", "Hg", "Hg", "Hg", "Hg", "Hg", "Hg", "Ac", "Ac", "Ac", "Ac", "Ag", "Ag", "Cd", "Cd"],
  "frac_coords": [[0.774, 0.337, 0.115], [0.339, 0.339, 0.387], [0.661, 0.065, 0.613], [0.226, 0.226, 0.885], [0.661, 0.661, 0.613], [0.935, 0.339, 0.387], [0.774, 0.774, 0.115], [0.339, 0.935, 0.387], [0.663, 0.226, 0.885], [0.065, 0.661, 0.613], [0.337, 0.774, 0.115], [0.226, 0.663, 0.885], [0.116, 0.116, 0.653], [0.884, 0.884, 0.347], [0.713, 0.713, 0.861], [0.287, 0.287, 0.139], [0.573, 0.573, 0.281], [0.427, 0.427, 0.719], [0.500, 0.500, 0.500], [0.000, 0.000, 0.000]],
  "mass_density_g_cm3": 10.98,
  "spacegroup": "R-3m, No. 166"
}



Entry 8:
{
  "formula": "Ca2GaAgBr",
  "functional": "GGA-PBE",
  "state": "optimized geometry",
  "lattice_angstrom": [[-3.963, -0.015, -4.210], [-0.080, -5.328, 0.095], [-4.209, 0.134, 3.961]],
  "species": ["Ga", "Br", "Ca", "Ca", "Ag"],
  "frac_coords": [[0.500, 0.500, 0.500], [0.000, 0.500, 0.000], [0.500, 0.000, 0.000], [0.000, 0.000, 0.500], [0.000, 0.000, 0.000]],
  "e_form_raw_ev_per_atom": 0.08,
  "mass_density_g_cm3": 3.15,
  "spacegroup": "P4/mmm, No. 123"
}



Entry 9:
{
  "formula": "NaTiBe2Te",
  "functional": "GGA-PBE",
  "state": "optimized geometry",
  "lattice_angstrom": [[4.443, 0.000, 0.000], [0.000, 4.980, 0.000], [0.000, 0.000, 4.443]],
  "species": ["Be", "Be", "Na", "Te", "Ti"],
  "frac_coords": [[0.500, 0.000, 0.000], [0.000, 0.000, 0.500], [0.000, 0.000, 0.000], [0.500, 0.500, 0.500], [0.000, 0.500, 0.000]],
  "e_form_raw_ev_per_atom": 1.48,
  "mass_density_g_cm3": 3.66,
  "spacegroup": "P4/mmm, No. 123"
}



Entry 10:
{
  "formula": "Cs4HoPu3O12",
  "functional": "GGA-PBE",
  "state": "optimized geometry",
  "lattice_angstrom": [[-4.838, -3.450, -4.725], [-0.552, -3.112, 6.903], [-1.699, 7.388, 0.411]],
  "species": ["O", "O", "O", "O", "O", "O", "O", "O", "O", "O", "O", "O", "Cs", "Cs", "Cs", "Cs", "Pu", "Pu", "Pu", "Ho"],
  "frac_coords": [[0.732, 0.000, 0.732], [0.250, 0.750, 0.500], [0.732, 0.732, 0.000], [0.268, 0.000, 0.268], [0.500, 0.750, 0.250], [0.750, 0.500, 0.250], [0.750, 0.250, 0.500], [0.500, 0.250, 0.750], [0.250, 0.500, 0.750], [0.268, 0.268, 0.000], [0.000, 0.732, 0.732], [0.000, 0.268, 0.268], [0.000, 0.000, 0.500], [0.500, 0.000, 0.000], [0.000, 0.500, 0.000], [0.500, 0.500, 0.500], [0.500, 0.500, 0.000], [0.500, 0.000, 0.500], [0.000, 0.500, 0.500], [0.000, 0.000, 0.000]],
  "e_form_raw_ev_per_atom": -2.47,
  "mass_density_g_cm3": 7.99,
  "spacegroup": "Im-3m, No. 229"
}



Entry 11:
{
  "formula": "ZnBr",
  "functional": "GGA-PBE",
  "state": "optimized geometry",
  "lattice_angstrom": [[3.511, 0.000, 0.000], [0.000, 5.133, 0.003], [0.000, 2.243, 6.272]],
  "species": ["Br", "Br", "Zn", "Zn"],
  "frac_coords": [[0.000, 0.027, 0.107], [0.500, 0.723, 0.643], [0.500, 0.200, 0.341], [0.000, 0.550, 0.409]],
  "e_form_raw_ev_per_atom": -0.43,
  "mass_density_g_cm3": 4.27,
  "spacegroup": "P2_1/m, No. 11"
}



Entry 12:
{
  "formula": "Ga2NiAu",
  "functional": "GGA-PBE",
  "state": "optimized geometry",
  "lattice_angstrom": [[-0.010, 2.257, 1.880], [1.056, -1.752, 2.109], [6.483, 1.615, -1.905]],
  "species": ["Ga", "Ga", "Ni", "Au"],
  "frac_coords": [[0.000, 0.000, 0.211], [0.000, 0.000, 0.789], [0.500, 0.500, 0.000], [0.500, 0.500, 0.500]],
  "mass_density_g_cm3": 10.94,
  "spacegroup": "P4/mmm, No. 123"
}



Entry 13:
{
  "formula": "ThTi2Rh9",
  "functional": "GGA-PBE",
  "state": "optimized geometry",
  "lattice_angstrom": [[3.954, 0.000, 0.000], [0.000, 3.954, 0.000], [0.000, 0.000, 11.848]],
  "species": ["Ti", "Ti", "Rh", "Rh", "Rh", "Rh", "Rh", "Rh", "Rh", "Rh", "Rh", "Th"],
  "frac_coords": [[0.000, 0.000, 0.340], [0.000, 0.000, 0.660], [0.500, 0.500, 0.000], [0.000, 0.500, 0.813], [0.500, 0.000, 0.500], [0.000, 0.500, 0.500], [0.500, 0.000, 0.187], [0.500, 0.500, 0.341], [0.500, 0.500, 0.659], [0.500, 0.000, 0.813], [0.000, 0.500, 0.187], [0.000, 0.000, 0.000]],
  "mass_density_g_cm3": 11.24,
  "spacegroup": "P4/mmm, No. 123"
}



Entry 14:
{
  "formula": "SrPr2F8",
  "functional": "GGA-PBE",
  "state": "optimized geometry",
  "lattice_angstrom": [[3.758, 0.000, -1.144], [-0.949, 5.492, -3.119], [0.068, 0.256, 6.970]],
  "species": ["Pr", "Pr", "F", "F", "F", "F", "F", "F", "F", "F", "Sr"],
  "frac_coords": [[0.180, 0.680, 0.361], [0.820, 0.320, 0.639], [0.000, 0.304, 0.000], [0.659, 0.434, 0.317], [0.165, 0.165, 0.330], [0.000, 0.696, 0.000], [0.341, 0.117, 0.683], [0.835, 0.835, 0.670], [0.341, 0.566, 0.683], [0.659, 0.883, 0.317], [0.500, 0.000, 0.000]],
  "e_form_raw_ev_per_atom": -3.96,
  "mass_density_g_cm3": 5.87,
  "spacegroup": "Immm, No. 71"
}



Entry 15:
{
  "formula": "PrSmZnCu",
  "functional": "GGA-PBE",
  "state": "optimized geometry",
  "lattice_angstrom": [[3.636, 0.000, 0.000], [0.000, 3.636, 0.000], [0.000, 0.000, 7.252]],
  "species": ["Zn", "Cu", "Sm", "Pr"],
  "frac_coords": [[0.000, 0.000, 0.847], [0.000, 0.000, 0.371], [0.500, 0.500, 0.599], [0.500, 0.500, 0.111]],
  "mass_density_g_cm3": 7.28,
  "spacegroup": "P4mm, No. 99",
  "de_polymorph_ev_per_fu": 0.00
}



Entry 16:
{
  "formula": "Mg3In4Pd4",
  "functional": "GGA-PBE",
  "state": "optimized geometry",
  "lattice_angstrom": [[-2.971, 0.282, -1.261], [2.573, -3.490, -6.846], [-1.766, -5.716, 7.046]],
  "species": ["Mg", "Mg", "Mg", "Pd", "Pd", "Pd", "Pd", "In", "In", "In", "In"],
  "frac_coords": [[0.907, 0.907, 0.813], [0.000, 0.500, 0.000], [0.093, 0.093, 0.187], [0.737, 0.237, 0.473], [0.263, 0.763, 0.527], [0.500, 0.790, 0.000], [0.500, 0.210, 0.000], [0.340, 0.531, 0.680], [0.340, 0.149, 0.680], [0.660, 0.469, 0.320], [0.660, 0.851, 0.320]],
  "mass_density_g_cm3": 7.43,
  "spacegroup": "Immm, No. 71"
}



Entry 17:
{
  "formula": "AcAl3CuPd",
  "functional": "GGA-PBE",
  "state": "optimized geometry",
  "lattice_angstrom": [[6.381, 0.000, 0.000], [0.000, 6.650, 0.000], [0.000, -3.325, 6.107]],
  "species": ["Pd", "Pd", "Cu", "Cu", "Al", "Al", "Al", "Al", "Al", "Al", "Ac", "Ac"],
  "frac_coords": [[0.250, 0.019, 0.038], [0.750, 0.981, 0.962], [0.750, 0.603, 0.206], [0.250, 0.397, 0.794], [0.250, 0.209, 0.419], [0.500, 0.291, 0.000], [0.000, 0.291, 0.000], [0.000, 0.709, 0.000], [0.750, 0.791, 0.581], [0.500, 0.709, 0.000], [0.250, 0.755, 0.509], [0.750, 0.245, 0.491]],
  "mass_density_g_cm3": 6.13,
  "spacegroup": "Cmcm, No. 63"
}



Entry 18:
{
  "formula": "BaSm2IO8",
  "functional": "GGA-PBE",
  "state": "optimized geometry",
  "lattice_angstrom": [[5.407, -0.253, -0.148], [-0.259, 4.627, 0.791], [-0.158, 1.253, 7.142]],
  "species": ["O", "O", "O", "O", "O", "O", "O", "O", "Sm", "Sm", "I", "Ba"],
  "frac_coords": [[0.730, 0.791, 0.902], [0.751, 0.127, 0.118], [0.501, 0.249, 0.500], [0.499, 0.751, 0.500], [0.249, 0.873, 0.882], [0.025, 0.663, 0.238], [0.975, 0.337, 0.762], [0.270, 0.209, 0.098], [0.525, 0.362, 0.784], [0.475, 0.638, 0.216], [0.000, 0.000, 0.000], [0.000, 0.000, 0.500]],
  "e_form_raw_ev_per_atom": -2.01,
  "mass_density_g_cm3": 6.66,
  "spacegroup": "P-1, No. 2"
}



Entry 19:
{
  "formula": "Mg6PtAu2",
  "functional": "GGA-PBE",
  "state": "optimized geometry",
  "lattice_angstrom": [[4.697, 0.000, 0.000], [-2.348, 4.067, 0.009], [0.000, -0.006, 9.126]],
  "species": ["Mg", "Mg", "Mg", "Mg", "Mg", "Mg", "Au", "Au", "Pt"],
  "frac_coords": [[0.667, 0.334, 0.922], [0.333, 0.666, 0.078], [0.333, 0.667, 0.421], [0.667, 0.333, 0.579], [0.000, 0.999, 0.218], [0.000, 0.001, 0.782], [0.666, 0.332, 0.220], [0.334, 0.668, 0.780], [0.000, 0.000, 0.500]],
  "mass_density_g_cm3": 7.00,
  "spacegroup": "C2/m, No. 12",
  "de_polymorph_ev_per_fu": 0.21
}



Entry 20:
{
  "formula": "Ac5YTl6",
  "functional": "GGA-PBE",
  "state": "optimized geometry",
  "lattice_angstrom": [[5.702, -0.367, 0.937], [-0.022, 7.490, 3.071], [1.347, 0.313, 9.914]],
  "species": ["Tl", "Tl", "Tl", "Tl", "Tl", "Tl", "Ac", "Ac", "Ac", "Ac", "Ac", "Y"],
  "frac_coords": [[0.160, 0.395, 0.683], [0.840, 0.605, 0.317], [0.500, 0.774, 0.000], [0.840, 0.077, 0.317], [0.500, 0.226, 0.000], [0.160, 0.923, 0.683], [0.336, 0.337, 0.327], [0.324, 0.825, 0.350], [0.676, 0.175, 0.650], [0.000, 0.500, 0.000], [0.664, 0.663, 0.673], [0.000, 0.000, 0.000]],
  "mass_density_g_cm3": 10.00,
  "spacegroup": "C2/m, No. 12"
}



Entry 21:
{
  "formula": "Sr3PbN",
  "functional": "GGA-PBE",
  "state": "optimized geometry",
  "lattice_angstrom": [[-3.840, -4.256, 3.581], [8.409, 3.061, 1.218], [-1.229, 6.254, 3.318]],
  "species": ["Sr", "Sr", "Sr", "Sr", "Sr", "Sr", "Pb", "Pb", "N", "N"],
  "frac_coords": [[0.225, 0.930, 0.868], [0.788, 0.494, 0.675], [0.345, 0.631, 0.398], [0.782, 0.066, 0.591], [0.098, 0.917, 0.377], [0.472, 0.643, 0.889], [0.662, 0.381, 0.177], [0.908, 0.179, 0.089], [0.785, 0.780, 0.633], [0.285, 0.780, 0.633]],
  "e_form_raw_ev_per_atom": -0.54,
  "mass_density_g_cm3": 5.07,
  "spacegroup": "P-1, No. 2"
}



Entry 22:
{
  "formula": "K3MgBr",
  "functional": "GGA-PBE",
  "state": "optimized geometry",
  "lattice_angstrom": [[-0.966, 1.772, -6.073], [4.976, -3.581, -1.837], [-3.907, -4.999, -0.838]],
  "species": ["K", "K", "K", "Br", "Mg"],
  "frac_coords": [[0.000, 0.500, 0.000], [0.000, 0.000, 0.500], [0.500, 0.000, 0.000], [0.000, 0.000, 0.000], [0.500, 0.500, 0.500]],
  "e_form_raw_ev_per_atom": -0.46,
  "mass_density_g_cm3": 1.40,
  "spacegroup": "Pm-3m, No. 221",
  "de_polymorph_ev_per_fu": 0.00
}



Entry 23:
{
  "formula": "LiPuAuBr6",
  "functional": "GGA-PBE",
  "state": "optimized geometry",
  "lattice_angstrom": [[-0.259, 2.051, -6.627], [5.329, -3.845, 2.238], [-6.402, -10.646, -3.046]],
  "species": ["Br", "Br", "Br", "Br", "Br", "Br", "Br", "Br", "Br", "Br", "Br", "Br", "Li", "Li", "Pu", "Pu", "Au", "Au"],
  "frac_coords": [[0.660, 0.659, 0.626], [0.341, 0.001, 0.626], [0.340, 0.341, 0.374], [0.660, 0.001, 0.874], [0.340, 0.999, 0.126], [0.659, 0.999, 0.374], [0.999, 0.659, 0.874], [0.999, 0.340, 0.626], [0.341, 0.340, 0.874], [0.001, 0.660, 0.374], [0.001, 0.341, 0.126], [0.659, 0.660, 0.126], [0.667, 0.333, 0.750], [0.333, 0.667, 0.250], [0.667, 0.333, 0.250], [0.333, 0.667, 0.750], [0.000, 0.000, 0.000], [0.000, 0.000, 0.500]],
  "e_form_raw_ev_per_atom": -1.00,
  "mass_density_g_cm3": 5.77,
  "spacegroup": "P-31c, No. 163"
}



no.,total energy (eV per atom)
1,-4.48
2,-7.23
3,-6.73
4,-3.23
5,-4.86
6,-7.48
7,-1.55
8,-2.23
9,-2.48
10,-8.00
11,-1.90
12,-3.96
13,-8.08
14,-6.34
15,-3.95
16,-3.80
17,-4.46
18,-6.40
19,-2.95
20,-3.78
21,-3.95
22,-1.77
23,-4.28